## YMnCl2 (PBE)

Data for a geometry-optimized YMnCl2 structure.

Structure (POSCAR):
```
YMnCl2
1.0
-4.609 -0.508 2.746
-5.167 -1.406 -0.603
3.494 -5.227 0.820
Cl Mn Y
2 1 1
Direct
0.052 0.052 0.872 Cl
0.407 0.407 0.234 Cl
0.277 0.277 0.504 Mn
0.764 0.764 0.890 Y
```

As for the distance to the lowest polymorph of the same formula: 0.082 eV/atom. The calculated total energy comes out at -22.8 eV per cell. The formation energy without anion corrections is -0.875 eV/atom.


## MnBTeAu (PBE)

Data for a geometry-optimized MnBTeAu structure.

Structure (POSCAR):
```
MnBTeAu
1.0
-5.994 1.545 0.652
0.084 -1.237 3.699
4.069 5.171 1.637
B Au Te Mn
2 2 2 2
Direct
0.473 0.000 0.571 B
0.473 0.500 0.071 B
0.396 0.000 0.211 Au
0.396 0.500 0.711 Au
0.860 0.000 0.698 Te
0.860 0.500 0.198 Te
0.116 0.500 0.951 Mn
0.116 0.000 0.451 Mn
```

As for the distance to the lowest polymorph of the same formula: 0.107 eV/atom. The calculated total energy comes out at -42.0 eV per cell. The formation energy without anion corrections is 0.315 eV/atom.


## BeNi2Os (PBE)

Data for a geometry-optimized BeNi2Os structure.

Structure (POSCAR):
```
BeNi2Os
1.0
4.465 0.011 0.000
1.793 4.089 0.000
-3.129 -2.050 2.438
Be Os Ni
1 1 2
Direct
0.750 0.250 0.500 Be
0.250 0.750 0.500 Os
0.000 0.000 0.000 Ni
0.500 0.500 0.000 Ni
```

As for the formation energy: 28 meV/atom. The calculated total energy comes out at -26.4 eV per cell.


## Rb2NdSnSe4 (PBE)

Data for a geometry-optimized Rb2NdSnSe4 structure.

Structure (POSCAR):
```
Rb2NdSnSe4
1.0
4.306 0.000 0.000
0.000 8.375 -0.493
0.000 2.633 7.059
Se Sn Rb Nd
4 1 2 1
Direct
0.000 0.304 0.227 Se
0.500 0.301 0.739 Se
0.000 0.696 0.773 Se
0.500 0.699 0.261 Se
0.500 0.500 0.000 Sn
0.500 0.000 0.500 Rb
0.000 0.000 0.000 Rb
0.000 0.500 0.500 Nd
```

The calculated total energy comes out at -34.3 eV per cell. The formation energy without anion corrections is -1.205 eV/atom.


## Tb2NiSe (PBE)

Data for a geometry-optimized Tb2NiSe structure.

Structure (POSCAR):
```
Tb2NiSe
1.0
-2.176 0.592 3.248
-3.709 -1.362 0.170
0.385 -6.316 3.816
Tb Se Ni
2 1 1
Direct
0.261 0.261 0.218 Tb
0.073 0.073 0.781 Tb
0.500 0.500 0.501 Se
0.666 0.666 0.001 Ni
```

As for the distance to the lowest polymorph of the same formula: 0.086 eV/atom. The calculated total energy comes out at -22.5 eV per cell. The formation energy without anion corrections is -0.999 eV/atom.


## LiMg2Ge2Pd2 (PBE)

Data for a geometry-optimized LiMg2Ge2Pd2 structure.

Structure (POSCAR):
```
LiMg2Ge2Pd2
1.0
-4.421 0.319 0.111
-2.476 -3.651 0.443
-2.077 -0.429 7.040
Li Mg Ge Pd
1 2 2 2
Direct
0.000 0.000 0.000 Li
0.130 0.130 0.609 Mg
0.870 0.870 0.391 Mg
0.399 0.399 0.803 Ge
0.601 0.601 0.197 Ge
0.736 0.736 0.793 Pd
0.264 0.264 0.207 Pd
```

As for the formation energy: -511 meV/atom. The calculated total energy comes out at -28.3 eV per cell.